(1)
First-principles (PBE) data for crystalline Tl2CoPb at its relaxed geometry, as listed in Alexandria via LeMat-Bulk.

Summary:
Energy above the most stable polymorph in this dataset ... 28.9 kJ/mol of atoms
ΔE_f ... 0.598 eV/atom
D(E_F) ... 5.608 states/eV per cell

Cell and atoms, written as CIF:
```
data_Tl2CoPb
_chemical_formula_sum 'Tl2 Co1 Pb1'
_space_group_name_H-M_alt 'P 4/m m m'
_space_group_IT_number 123
_space_group_name_Hall '-P 4 2'
_cell_length_a 4.441
_cell_length_b 4.441
_cell_length_c 5.017
_cell_angle_alpha 90.00
_cell_angle_beta 90.00
_cell_angle_gamma 90.00
loop_
_atom_site_label
_atom_site_type_symbol
_atom_site_fract_x
_atom_site_fract_y
_atom_site_fract_z
_atom_site_occupancy
Tl1 Tl 0.000 0.500 0.000 1
Co1 Co 0.000 0.000 0.500 1
Pb1 Pb 0.500 0.500 0.500 1
```


(2)
First-principles (PBE) data for crystalline TlCoPb2 at its relaxed geometry, as listed in Alexandria via LeMat-Bulk.

Summary:
Energy above the most stable polymorph in this dataset ... 30.2 kJ/mol of atoms
ΔE_f ... 0.557 eV/atom
D(E_F) ... 11.119 states/eV per cell

Cell and atoms, written as CIF:
```
data_TlCoPb2
_chemical_formula_sum 'Tl2 Co2 Pb4'
_space_group_name_H-M_alt 'I 4/m m m'
_space_group_IT_number 139
_space_group_name_Hall '-I 4 2'
_cell_length_a 4.794
_cell_length_b 4.794
_cell_length_c 8.722
_cell_angle_alpha 90.00
_cell_angle_beta 90.00
_cell_angle_gamma 90.00
loop_
_atom_site_label
_atom_site_type_symbol
_atom_site_fract_x
_atom_site_fract_y
_atom_site_fract_z
_atom_site_occupancy
Tl1 Tl 0.000 0.000 0.000 1
Co1 Co 0.000 0.000 0.500 1
Pb1 Pb 0.000 0.500 0.250 1
```


(3)
First-principles (PBE) data for crystalline Tl2CoPb at its relaxed geometry, as listed in Alexandria via LeMat-Bulk.

Summary:
Energy above the most stable polymorph in this dataset ... 4.3 kJ/mol of atoms
ΔE_f ... 0.343 eV/atom
D(E_F) ... 5.585 states/eV per cell

Cell and atoms, written as CIF:
```
data_Tl2CoPb
_chemical_formula_sum 'Tl4 Co2 Pb2'
_space_group_name_H-M_alt 'I m m m'
_space_group_IT_number 71
_space_group_name_Hall '-I 2 2'
_cell_length_a 3.210
_cell_length_b 4.428
_cell_length_c 14.177
_cell_angle_alpha 90.00
_cell_angle_beta 90.00
_cell_angle_gamma 90.00
loop_
_atom_site_label
_atom_site_type_symbol
_atom_site_fract_x
_atom_site_fract_y
_atom_site_fract_z
_atom_site_occupancy
Tl1 Tl 0.000 0.000 0.178 1
Co1 Co 0.000 0.500 0.500 1
Pb1 Pb 0.000 0.500 0.000 1
```


(4)
First-principles (PBE) data for crystalline Tl2VCoPb at its relaxed geometry, as listed in Alexandria via LeMat-Bulk.

Summary:
ΔE_f ... 1.702 eV/atom
D(E_F) ... 11.159 states/eV per cell

Cell and atoms, written as CIF:
```
data_Tl2VCoPb
_chemical_formula_sum 'Tl2 V1 Co1 Pb1'
_space_group_name_H-M_alt 'P 4/m m m'
_space_group_IT_number 123
_space_group_name_Hall '-P 4 2'
_cell_length_a 5.800
_cell_length_b 5.800
_cell_length_c 4.806
_cell_angle_alpha 90.00
_cell_angle_beta 90.00
_cell_angle_gamma 90.00
loop_
_atom_site_label
_atom_site_type_symbol
_atom_site_fract_x
_atom_site_fract_y
_atom_site_fract_z
_atom_site_occupancy
Tl1 Tl 0.000 0.500 0.000 1
V1 V 0.000 0.000 0.500 1
Co1 Co 0.500 0.500 0.500 1
Pb1 Pb 0.500 0.500 0.000 1
```


(5)
First-principles (PBE) data for crystalline Tm2CoPb at its relaxed geometry, as listed in Alexandria via LeMat-Bulk.

Summary:
Energy above the most stable polymorph in this dataset ... 11.4 kJ/mol of atoms
ΔE_f ... -0.211 eV/atom
D(E_F) ... 14.193 states/eV per cell

Cell and atoms, written as CIF:
```
data_Tm2CoPb
_chemical_formula_sum 'Tm8 Co4 Pb4'
_space_group_name_H-M_alt 'C 1 2/m 1'
_space_group_IT_number 12
_cell_length_a 14.061
_cell_length_b 4.379
_cell_length_c 6.729
_cell_angle_alpha 90.00
_cell_angle_beta 112.31
_cell_angle_gamma 90.00
loop_
_space_group_symop_operation_xyz
'x,y,z'
'-x,-y,-z'
'-x,y,-z'
'x,-y,z'
'x+1/2,y+1/2,z'
'-x+1/2,-y+1/2,-z'
'-x+1/2,y+1/2,-z'
'x+1/2,-y+1/2,z'
loop_
_atom_site_label
_atom_site_type_symbol
_atom_site_fract_x
_atom_site_fract_y
_atom_site_fract_z
_atom_site_occupancy
Tm1 Tm 0.018 0.000 0.263 1
Tm2 Tm 0.166 0.500 0.672 1
Co1 Co 0.177 0.000 0.943 1
Pb1 Pb 0.149 0.500 0.148 1
```


(6)
First-principles (PBE) data for crystalline Tm6CoPb3 at its relaxed geometry, as listed in Alexandria via LeMat-Bulk.

Summary:
ΔE_f ... -0.116 eV/atom
D(E_F) ... 35.645 states/eV per cell

Cell and atoms, written as CIF:
```
data_Tm6CoPb3
_chemical_formula_sum 'Tm24 Co4 Pb12'
_space_group_name_H-M_alt 'C m c 21'
_space_group_IT_number 36
_cell_length_a 11.668
_cell_length_b 14.359
_cell_length_c 7.205
_cell_angle_alpha 90.00
_cell_angle_beta 90.00
_cell_angle_gamma 90.00
loop_
_space_group_symop_operation_xyz
'x,y,z'
'-x,-y,z+1/2'
'-x,y,z'
'x,-y,z+1/2'
'x+1/2,y+1/2,z'
'-x+1/2,-y+1/2,z+1/2'
'-x+1/2,y+1/2,z'
'x+1/2,-y+1/2,z+1/2'
loop_
_atom_site_label
_atom_site_type_symbol
_atom_site_fract_x
_atom_site_fract_y
_atom_site_fract_z
_atom_site_occupancy
Tm1 Tm 0.000 0.012 0.000 1
Tm2 Tm 0.000 0.238 0.548 1
Tm3 Tm 0.147 0.240 0.093 1
Tm4 Tm 0.158 0.465 0.552 1
Co1 Co 0.000 0.135 0.261 1
Pb1 Pb 0.000 0.385 0.871 1
Pb2 Pb 0.185 0.111 0.743 1
```


(7)
First-principles (PBE) data for crystalline Tm5CoPb4 at its relaxed geometry, as listed in Alexandria via LeMat-Bulk.

Summary:
ΔE_f ... -0.258 eV/atom
D(E_F) ... 16.300 states/eV per cell

Cell and atoms, written as CIF:
```
data_Tm5CoPb4
_chemical_formula_sum 'Tm10 Co2 Pb8'
_space_group_name_H-M_alt 'I 4/m m m'
_space_group_IT_number 139
_space_group_name_Hall '-I 4 2'
_cell_length_a 10.121
_cell_length_b 10.121
_cell_length_c 5.350
_cell_angle_alpha 90.00
_cell_angle_beta 90.00
_cell_angle_gamma 90.00
loop_
_atom_site_label
_atom_site_type_symbol
_atom_site_fract_x
_atom_site_fract_y
_atom_site_fract_z
_atom_site_occupancy
Tm1 Tm 0.000 0.000 0.000 1
Tm2 Tm 0.176 0.176 0.500 1
Co1 Co 0.000 0.000 0.500 1
Pb1 Pb 0.000 0.323 0.000 1
```


(8)
First-principles (PBE) data for crystalline Tm2CoPb at its relaxed geometry, as listed in Alexandria via LeMat-Bulk.

Summary:
Energy above the most stable polymorph in this dataset ... 9.9 kJ/mol of atoms
ΔE_f ... -0.226 eV/atom
D(E_F) ... 7.608 states/eV per cell

Cell and atoms, written as CIF:
```
data_Tm2CoPb
_chemical_formula_sum 'Tm6 Co3 Pb3'
_space_group_name_H-M_alt 'R -3 m'
_space_group_IT_number 166
_space_group_name_Hall '-R 3 2"'
_cell_length_a 3.6584
_cell_length_b 3.6584
_cell_length_c 25.5185
_cell_angle_alpha 90.00
_cell_angle_beta 90.00
_cell_angle_gamma 120.00
loop_
_atom_site_label
_atom_site_type_symbol
_atom_site_fract_x
_atom_site_fract_y
_atom_site_fract_z
_atom_site_occupancy
Tm1 Tm 0.0000 0.0000 0.2282 1
Co1 Co 0.0000 0.0000 0.5000 1
Pb1 Pb 0.0000 0.0000 0.0000 1
```


| no. | energy (eV/atom) |
| --- | --- |
| 1 | -3.29 |
| 2 | -3.67 |
| 3 | -3.54 |
| 4 | -3.23 |
| 5 | -5.15 |
| 6 | -4.62 |
| 7 | -4.69 |
| 8 | -5.17 |